{
  "formula": "Mg2CuP",
  "functional": "GGA-PBE",
  "state": "relaxed",
  "lattice": [[3.5983, 0.0000, 0.0000], [0.0000, 3.5983, 0.0000], [0.0000, 0.0000, 5.3190]],
  "species": ["P", "Mg", "Mg", "Cu"],
  "frac_coords": [[0.0000, 0.0000, 0.4751], [0.5000, 0.5000, 0.2903], [0.0000, 0.0000, 0.9603], [0.5000, 0.5000, 0.7744]],
  "ef_ev_per_atom": -0.0810,
  "space_group": "P4mm, No. 99",
  "magnetic_moment_mub_per_cell": 0.0
}